(1)
Density functional theory data (GGA-PBE) for a relaxed LaPrInN3 crystal.

Lattice parameters (Å, degrees): 3.5386 6.1664 9.0766 98.45 90.00 90.00
Last column: nearest neighbours and their distance in Å.
Fractional coordinates of all 12 atoms:
Pr  0.7500  0.6643  0.6862  7 N 2.62-2.77
Pr  0.2500  0.3357  0.3137  7 N 2.62-2.77
N  0.2500  0.7471  0.4833  2 In 2.23
N  0.7500  0.0458  0.1739  1 In 2.23
N  0.2500  0.9542  0.8261  1 In 2.23
N  0.7500  0.2529  0.5167  2 In 2.23
N  0.7500  0.5362  0.1690  1 In 2.37, 3 La 2.51-2.57, 2 Pr 2.62
N  0.2500  0.4638  0.8310  1 In 2.37, 3 La 2.51-2.57, 2 Pr 2.62
La  0.2500  0.7616  0.0521  6 N 2.51-2.62
La  0.7500  0.2384  0.9479  6 N 2.51-2.62
In  0.2500  0.1554  0.6405  4 N 2.23-2.37
In  0.7500  0.8446  0.3595  4 N 2.23-2.37

Summary:
Magnetic moment in μB/cell: 0.000
Space group: No. 11
Uncorrected formation energy in eV per atom: -0.786
Crystal system: monoclinic

(2)
Density functional theory data (GGA-PBE) for a relaxed AcPr3Y6 crystal.

Lattice parameters (Å, degrees): 9.1131 9.2757 9.2757 116.66 90.00 90.00
Last column: nearest neighbours and their distance in Å.
Fractional coordinates of all 20 atoms:
Pr  0.9916  0.1864  0.3054  7 Y 3.35-3.72, 1 Pr 3.42, 1 Ac 3.67
Pr  0.9916  0.6946  0.8136  7 Y 3.35-3.72, 1 Pr 3.42, 1 Ac 3.67
Pr  0.8144  0.5491  0.4509  2 Pr 3.42, 1 Ac 3.50, 4 Y 3.52-3.76
Pr  0.4916  0.8136  0.6946  7 Y 3.35-3.72, 1 Pr 3.42, 1 Ac 3.67
Pr  0.4916  0.3054  0.1864  7 Y 3.35-3.72, 1 Pr 3.42, 1 Ac 3.67
Pr  0.3144  0.4509  0.5491  2 Pr 3.42, 1 Ac 3.50, 4 Y 3.52-3.76
Y  0.8220  0.9711  0.6773  3 Pr 3.38-3.67, 4 Y 3.42-3.77, 1 Ac 3.54
Y  0.4528  0.2133  0.7867  3 Y 3.41-3.59, 2 Pr 3.43, 1 Ac 3.55
Y  0.3220  0.0289  0.3227  3 Pr 3.38-3.67, 4 Y 3.42-3.77, 1 Ac 3.54
Y  0.9528  0.7867  0.2133  3 Y 3.41-3.59, 2 Pr 3.43, 1 Ac 3.55
Y  0.1661  0.4706  0.1803  2 Pr 3.35-3.68, 5 Y 3.40-3.58
Y  0.6802  0.9510  0.0490  4 Pr 3.41-3.72, 5 Y 3.52-3.77, 1 Ac 3.70
Y  0.6661  0.1803  0.4706  2 Pr 3.35-3.68, 5 Y 3.40-3.58
Y  0.8220  0.3227  0.0289  3 Pr 3.38-3.67, 4 Y 3.42-3.77, 1 Ac 3.54
Y  0.1802  0.0490  0.9510  4 Pr 3.41-3.72, 5 Y 3.52-3.77, 1 Ac 3.70
Y  0.1661  0.8197  0.5294  2 Pr 3.35-3.68, 5 Y 3.40-3.58
Y  0.3220  0.6773  0.9711  3 Pr 3.38-3.67, 4 Y 3.42-3.77, 1 Ac 3.54
Y  0.6661  0.5294  0.8197  2 Pr 3.35-3.68, 5 Y 3.40-3.58
Ac  0.0786  0.2760  0.7240  3 Pr 3.50-3.67, 6 Y 3.54-3.87
Ac  0.5786  0.7240  0.2760  3 Pr 3.50-3.67, 6 Y 3.54-3.87

Summary:
Magnetic moment in μB/cell: 0.000
Space group: No. 36
Energy relative to the lowest polymorph listed for this composition in meV per atom: 0.0
Crystal system: orthorhombic
ΔH_f (0 K) in eV/atom: 0.1254

(3)
Density functional theory data (GGA-PBE) for a relaxed Ac6AgIr2 crystal.

Lattice parameters (Å, degrees): 8.2000 9.2547 9.2547 70.39 77.67 77.67
Last column: nearest neighbours and their distance in Å.
Fractional coordinates of all 18 atoms:
Ac  0.6829  0.6267  0.6267  2 Ir 2.94-2.95
Ac  0.9282  0.3215  0.9605  2 Ir 3.09
Ac  0.9282  0.9605  0.3216  2 Ir 3.09
Ac  0.0718  0.6785  0.0395  2 Ir 3.09
Ac  0.1829  0.6267  0.6267  2 Ir 2.94-2.95
Ac  0.5718  0.0395  0.6785  2 Ir 3.09
Ac  0.3171  0.3733  0.3733  2 Ir 2.94-2.95
Ac  0.8171  0.3733  0.3733  2 Ir 2.94-2.95
Ac  0.4282  0.3216  0.9605  2 Ir 3.09
Ac  0.5718  0.6784  0.0395  2 Ir 3.09
Ac  0.0718  0.0395  0.6784  2 Ir 3.09
Ac  0.4282  0.9605  0.3215  2 Ir 3.09
Ir  0.1363  0.2286  0.2287  6 Ac 2.94-3.09
Ir  0.6363  0.2287  0.2286  6 Ac 2.94-3.09
Ir  0.3637  0.7713  0.7714  6 Ac 2.94-3.09
Ir  0.8637  0.7714  0.7713  6 Ac 2.94-3.09
Ag  0.7500  0.9999  0.0001  2 Ir 3.34, 8 Ac 3.47-3.51
Ag  0.2500  0.0001  0.9999  2 Ir 3.34, 8 Ac 3.47-3.51

Summary:
Magnetic moment in μB/cell: 0.000
Space group: No. 12
Energy relative to the lowest polymorph listed for this composition in meV per atom: 43.0
Crystal system: monoclinic
ΔH_f (0 K) in eV/atom: -0.3646

(4)
Density functional theory data (GGA-PBE) for a relaxed TlSi3Ag crystal.

Lattice parameters (Å, degrees): 4.9418 4.9418 4.9418 90.00 90.00 90.00
Last column: nearest neighbours and their distance in Å.
Fractional coordinates of all 5 atoms:
Tl  0.5000  0.5000  0.5000  12 Si 3.49
Si  0.0000  0.5000  0.0000  2 Ag 2.47
Si  0.0000  0.0000  0.5000  2 Ag 2.47
Si  0.5000  0.0000  0.0000  2 Ag 2.47
Ag  0.0000  0.0000  0.0000  6 Si 2.47

Summary:
Magnetic moment in μB/cell: 0.000
Space group: No. 221
Uncorrected formation energy in eV per atom: 0.971
Energy relative to the lowest polymorph listed for this composition in meV per atom: 0.0
Crystal system: cubic

Question: magnetic moment of number 2 (AcPr3Y6)?
Answer: 0.000 μB/cell

Question: Which value of magnetic moment does entry 3 give?
Answer: 0.000 μB/cell

Question: Look up the magnetic moment of the fourth one.
Answer: 0.000 μB/cell